Entry 1:
Material: TlN4
Method: DFT, GGA-PBE
State: optimized geometry

Cell: 4.7091 4.7091 4.7091 Å, 90.00 90.00 90.00°
Last column: nearest neighbours and their distance in Å.
Fractional coordinates of all 5 atoms:
N 0.0000 0.0000 0.0000  12 N 3.33
N 0.5000 0.5000 0.0000  2 Tl 2.35
N 0.0000 0.5000 0.5000  2 Tl 2.35
N 0.5000 0.0000 0.5000  2 Tl 2.35
Tl 0.5000 0.5000 0.5000  6 N 2.35

Density of states at the Fermi level, states/eV per cell: 2.1
Space group: Pm-3m
Excess energy over the best structure of this formula in the dataset, eV/atom: 3.289

Entry 2:
Material: TlN
Method: DFT, GGA-PBE
State: optimized geometry

Cell: 3.8015 5.5103 11.4750 Å, 90.00 90.00 90.00°
Last column: nearest neighbours and their distance in Å.
Fractional coordinates of all 12 atoms:
N 0.5000 0.1012 0.8489  4 Tl 2.25-2.32
N 0.0000 0.8988 0.3489  4 Tl 2.25-2.32
N 0.0000 0.6003 0.0000  4 Tl 2.25-2.31
N 0.0000 0.8988 0.6511  4 Tl 2.25-2.32
N 0.5000 0.3997 0.5000  4 Tl 2.25-2.31
N 0.5000 0.1012 0.1511  4 Tl 2.25-2.32
Tl 0.5000 0.3619 0.0000  4 N 2.25-2.31
Tl 0.0000 0.8603 0.1515  4 N 2.25-2.32
Tl 0.0000 0.8603 0.8485  4 N 2.25-2.32
Tl 0.5000 0.1397 0.6515  4 N 2.25-2.32
Tl 0.0000 0.6381 0.5000  4 N 2.25-2.31
Tl 0.5000 0.1397 0.3485  4 N 2.25-2.32

Density of states at the Fermi level, states/eV per cell: 1.6
Space group: Pmmn
Excess energy over the best structure of this formula in the dataset, eV/atom: 0.906

Entry 3:
Material: Tl4N
Method: DFT, GGA-PBE
State: optimized geometry

Cell: 5.1150 5.1150 5.1150 Å, 90.00 90.00 90.00°
Last column: nearest neighbours and their distance in Å.
Fractional coordinates of all 5 atoms:
Tl 0.5000 0.0000 0.5000  2 N 2.56
Tl 0.0000 0.5000 0.5000  2 N 2.56
Tl 0.5000 0.5000 0.0000  2 N 2.56
Tl 0.0000 0.0000 0.0000  12 Tl 3.62
N 0.5000 0.5000 0.5000  6 Tl 2.56

Density of states at the Fermi level, states/eV per cell: 2.4
Space group: Pm-3m
Total DFT energy (no corrections), eV/atom: -2.930

Q: density of states at the Fermi level of number 2 (TlN)?
A: 1.6 states/eV per cell

Q: Which formula does entry 2 have?
A: TlN

Q: What is the formula in the first record?
A: TlN4